1.
CaZrS2 | PBE | relaxed

Output
- volume (Å³/f.u.) = 109
- electronic total energy (eV per cell) = -48.09
- ΔE to the lowest computed polymorph (eV per atom) = 0.356

a b c (Å): 6.096 6.096 7.262
angles (deg): 65.18 65.18 90.00
Sites, in units of the cell vectors:
Ca (0.500, 0.500, 0.000)
S (0.098, 0.625, 0.250)
Zr (0.750, 0.250, 0.500)
S (0.652, 0.125, 0.250)
Ca (0.250, 0.750, 0.500)
S (0.375, 0.348, 0.750)
Zr (0.000, 0.000, 0.000)
S (0.875, 0.902, 0.750)

2.
Ca3ZrS | PBE | relaxed

Output
- volume (Å³/f.u.) = 185
- electronic total energy (eV per cell) = -14.35
- ΔE to the lowest computed polymorph (eV per atom) = 1.178

a b c (Å): 5.699 5.699 5.699
angles (deg): 90.00 90.00 90.00
Site moments in Bohr magnetons follow the coordinates.
Sites, in units of the cell vectors:
Ca (0.000, 0.500, 0.000)  0.18
S (0.500, 0.500, 0.500)  0.10
Ca (0.500, 0.000, 0.000)  0.13
Ca (0.000, 0.000, 0.500)  0.18
Zr (0.000, 0.000, 0.000)  1.41

3.
Ca4Sb3 | PBE | relaxed

Output
- volume (Å³/f.u.) = 218
- electronic total energy (eV per cell) = -23.39
- ΔE to the lowest computed polymorph (eV per atom) = 0.558

a b c (Å): 6.421 6.421 6.113
angles (deg): 90.00 90.00 120.00
Sites, in units of the cell vectors:
Sb (0.500, 0.000, 0.000)
Ca (0.667, 0.333, 0.500)
Ca (0.000, 0.000, 0.764)
Ca (0.333, 0.667, 0.500)
Sb (0.500, 0.500, 0.000)
Ca (0.000, 0.000, 0.236)
Sb (0.000, 0.500, 0.000)

4.
Ca2Sb | PBE | relaxed

Output
- volume (Å³/f.u.) = 90
- electronic total energy (eV per cell) = -20.60

a b c (Å): 5.511 5.511 6.879
angles (deg): 90.00 90.00 120.00
Sites, in units of the cell vectors:
Sb (0.667, 0.333, 0.250)
Ca (0.667, 0.333, 0.750)
Ca (0.000, 0.000, 0.000)
Ca (0.333, 0.667, 0.250)
Ca (0.000, 0.000, 0.500)
Sb (0.333, 0.667, 0.750)

5.
CaSb3 | PBE | relaxed

Output
- volume (Å³/f.u.) = 113
- electronic total energy (eV per cell) = -15.33

a b c (Å): 6.144 6.144 6.144
angles (deg): 116.29 116.29 116.29
Sites, in units of the cell vectors:
Ca (0.000, 0.000, 0.000)
Sb (0.500, 0.000, 0.500)
Sb (0.000, 0.500, 0.500)
Sb (0.500, 0.500, 0.000)

6.
Ca5Sb3 | PBE | relaxed

Output
- volume (Å³/f.u.) = 251
- electronic total energy (eV per cell) = -121.20

a b c (Å): 8.310 9.588 12.626
angles (deg): 90.00 90.00 90.00
Site moments in Bohr magnetons follow the coordinates.
Sites, in units of the cell vectors:
Ca (0.535, 0.250, 0.495)  0.06
Ca (0.035, 0.750, 0.005)  0.06
Sb (0.938, 0.512, 0.829)  0.00
Sb (0.438, 0.012, 0.671)  0.00
Sb (0.062, 0.488, 0.171)  0.00
Sb (0.923, 0.250, 0.515)  0.00
Ca (0.346, 0.250, 0.207)  0.06
Sb (0.562, 0.512, 0.329)  0.00
Ca (0.808, 0.542, 0.578)  0.06
Ca (0.192, 0.042, 0.422)  0.06
Ca (0.654, 0.750, 0.793)  0.06
Ca (0.154, 0.250, 0.707)  0.06
Sb (0.938, 0.988, 0.829)  0.00
Ca (0.965, 0.250, 0.995)  0.06
Sb (0.577, 0.250, 0.015)  0.00
Ca (0.308, 0.458, 0.922)  0.06
Ca (0.692, 0.542, 0.078)  0.06
Ca (0.808, 0.958, 0.578)  0.06
Sb (0.438, 0.488, 0.671)  0.00
Ca (0.681, 0.250, 0.772)  0.01
Ca (0.465, 0.750, 0.505)  0.06
Ca (0.192, 0.458, 0.422)  0.06
Sb (0.423, 0.750, 0.985)  0.00
Sb (0.077, 0.750, 0.485)  0.00
Sb (0.062, 0.012, 0.171)  0.00
Sb (0.562, 0.988, 0.329)  0.00
Ca (0.181, 0.750, 0.728)  0.01
Ca (0.692, 0.958, 0.078)  0.06
Ca (0.846, 0.750, 0.293)  0.06
Ca (0.819, 0.250, 0.272)  0.01
Ca (0.308, 0.042, 0.922)  0.06
Ca (0.319, 0.750, 0.228)  0.01